[1]
Below is a relaxed Sm12Si6Bi crystal, with properties calculated at the GGA-PBE level.

Unit cell a=8.8006 b=8.8006 c=8.8006 alpha=109.47 beta=109.47 gamma=109.47
Last column: nearest neighbours and their distance in Å.
Fractional positions:
Sm  0.2979  0.1083  0.8104  3 Si 2.86-3.05
Sm  0.2979  0.4875  0.1896  3 Si 2.86-3.05
Sm  0.7021  0.5125  0.8104  3 Si 2.86-3.05
Sm  0.7021  0.8917  0.1896  3 Si 2.86-3.05
Sm  0.1083  0.8104  0.2979  3 Si 2.86-3.05
Sm  0.4875  0.1896  0.2979  3 Si 2.86-3.05
Sm  0.5125  0.8104  0.7021  3 Si 2.86-3.05
Sm  0.8917  0.1896  0.7021  3 Si 2.86-3.05
Sm  0.8104  0.2979  0.1083  3 Si 2.86-3.05
Sm  0.1896  0.2979  0.4875  3 Si 2.86-3.05
Sm  0.8104  0.7021  0.5125  3 Si 2.86-3.05
Sm  0.1896  0.7021  0.8917  3 Si 2.86-3.05
Si  0.3852  0.5000  0.8852  1 Si 2.33
Si  0.6148  0.5000  0.1148  1 Si 2.33
Si  0.5000  0.8852  0.3852  1 Si 2.33
Si  0.5000  0.1148  0.6148  1 Si 2.33
Si  0.8852  0.3852  0.5000  1 Si 2.33
Si  0.1148  0.6148  0.5000  1 Si 2.33
Bi  0.0000  0.0000  0.0000  12 Sm 3.59

Output
Energy relative to the elements, uncorrected = -567.9 meV/atom
Calculated volume = 525 Å³ per cell
M_tot = 0.01 Bohr magnetons per cell
SG = Im-3 (204)
Crystal system = cubic



[2]
Below is a relaxed Sm6SiBi2Te3 crystal, with properties calculated at the GGA-PBE level.

Unit cell a=4.4345 b=8.9582 c=9.9864 alpha=102.78 beta=102.83 gamma=90.00
Last column: nearest neighbours and their distance in Å.
Fractional positions:
Sm  0.3467  0.9232  0.6935  1 Si 2.91, 2 Bi 3.16, 2 Te 3.17
Sm  0.6651  0.5820  0.3303  3 Te 3.13-3.16, 3 Bi 3.15-3.19
Sm  0.6533  0.0768  0.3065  1 Si 2.91, 2 Bi 3.16, 2 Te 3.17
Sm  0.9990  0.2224  0.9979  2 Si 2.98, 1 Bi 3.19, 3 Te 3.22-3.33
Sm  0.0010  0.7776  0.0021  2 Si 2.98, 1 Bi 3.19, 3 Te 3.22-3.33
Sm  0.3349  0.4180  0.6697  3 Te 3.13-3.16, 3 Bi 3.15-3.19
Si  0.5000  0.0000  0.0000  6 Sm 2.91-2.98
Bi  0.8333  0.6664  0.6665  6 Sm 3.15-3.19
Bi  0.1667  0.3336  0.3335  6 Sm 3.15-3.19
Te  0.5000  0.5000  0.0000  6 Sm 3.13-3.33
Te  0.8294  0.1643  0.6588  6 Sm 3.16-3.34
Te  0.1706  0.8357  0.3412  6 Sm 3.16-3.34

Output
Energy relative to the elements, uncorrected = -1169.4 meV/atom
Calculated volume = 377 Å³ per cell
M_tot = 0.00 Bohr magnetons per cell
SG = C2/m (12)
Crystal system = monoclinic